# HoSc3O, optimized geometry, DFT PBE
data_HoSc3O
_chemical_formula_sum 'Ho1 Sc3 O1'
_space_group_name_H-M_alt 'P m -3 m'
_space_group_IT_number 221
_space_group_name_Hall '-P 4 2 3'
_cell_length_a 4.633
_cell_length_b 4.633
_cell_length_c 4.633
_cell_angle_alpha 90.00
_cell_angle_beta 90.00
_cell_angle_gamma 90.00
loop_
_atom_site_label
_atom_site_fract_x
_atom_site_fract_y
_atom_site_fract_z
Ho1 0.000 0.000 0.000
Sc1 0.000 0.500 0.500
O1 0.500 0.500 0.500
# **ΔE_f (raw)**: -5.147 eV per formula unit
# **Total DFT energy (no corrections)**: -0.2475 Ha/atom
# **DOS at the Fermi energy**: 8.25 states/eV/f.u.
# **Excess energy over the best structure of this formula in the dataset**: 103 meV/atom

=====

# SmErZnCu, optimized geometry, DFT PBE
data_SmErZnCu
_chemical_formula_sum 'Sm4 Er4 Zn4 Cu4'
_space_group_name_H-M_alt 'F -4 3 m'
_space_group_IT_number 216
_space_group_name_Hall 'F -4 2 3'
_cell_length_a 7.084
_cell_length_b 7.084
_cell_length_c 7.084
_cell_angle_alpha 90.00
_cell_angle_beta 90.00
_cell_angle_gamma 90.00
loop_
_atom_site_label
_atom_site_fract_x
_atom_site_fract_y
_atom_site_fract_z
Sm1 0.000 0.000 0.000
Er1 0.000 0.000 0.500
Zn1 0.250 0.250 0.750
Cu1 0.250 0.250 0.250
# **Total DFT energy (no corrections)**: -0.1445 Ha/atom
# **E_form**: -6.21 kcal/mol of atoms
# **DOS at the Fermi energy**: 2.07 states/eV/f.u.
# **Excess energy over the best structure of this formula in the dataset**: 8 meV/atom

=====

# Tb5Sm3Dy, optimized geometry, DFT PBE
data_Tb5Sm3Dy
_chemical_formula_sum 'Tb20 Sm12 Dy4'
_space_group_name_H-M_alt 'C 1 2/m 1'
_space_group_IT_number 12
_space_group_name_Hall '-C 2y'
_cell_length_a 15.241
_cell_length_b 11.466
_cell_length_c 9.917
_cell_angle_alpha 90.00
_cell_angle_beta 130.15
_cell_angle_gamma 90.00
loop_
_atom_site_label
_atom_site_fract_x
_atom_site_fract_y
_atom_site_fract_z
Tb1 0.000 0.244 0.000
Tb2 0.153 0.249 0.747
Tb3 0.222 0.000 0.228
Tb4 0.224 0.500 0.042
Sm1 0.000 0.000 0.500
Sm2 0.000 0.500 0.000
Sm3 0.008 0.000 0.814
Sm4 0.019 0.500 0.358
Dy1 0.249 0.500 0.403
# **Total DFT energy (no corrections)**: -0.1522 Ha/atom
# **E_form**: 11.86 kcal/mol of atoms
# **DOS at the Fermi energy**: 12.73 states/eV/f.u.
# **Excess energy over the best structure of this formula in the dataset**: 217 meV/atom

=====

# Nd4DySc2, optimized geometry, DFT PBE
data_Nd4DySc2
_chemical_formula_sum 'Nd8 Dy2 Sc4'
_space_group_name_H-M_alt 'P 1 21/m 1'
_space_group_IT_number 11
_space_group_name_Hall '-P 2yb'
_cell_length_a 5.564
_cell_length_b 6.892
_cell_length_c 11.938
_cell_angle_alpha 90.00
_cell_angle_beta 103.49
_cell_angle_gamma 90.00
loop_
_atom_site_label
_atom_site_fract_x
_atom_site_fract_y
_atom_site_fract_z
Nd1 0.067 0.250 0.138
Nd2 0.217 0.750 0.435
Nd3 0.356 0.502 0.712
Dy1 0.078 0.750 0.152
Sc1 0.209 0.250 0.418
Sc2 0.497 0.250 0.997
# **Total DFT energy (no corrections)**: -0.1850 Ha/atom
# **E_form**: 3.60 kcal/mol of atoms
# **DOS at the Fermi energy**: 12.06 states/eV/f.u.
# **Excess energy over the best structure of this formula in the dataset**: 77 meV/atom